This record from Alexandria via LeMat-Bulk describes VCo2 after structural relaxation. The functional is PBE.

Lattice parameters (Å, degrees): 2.939 2.939 8.052 90.00 90.00 90.00
Space group I4/mmm (No. 139)
Symmetry-distinct sites (fractional):
V 0.000 0.000 0.000 [2 per cell]
Co 0.000 0.000 0.340 [4 per cell]

Output
Its density is 8.06 Mg/m³. Its calculated total energy is -46.97 eV/cell. Its crystal system is tetragonal. For the formation energy from the elements, the calculation gives -15 kJ/mol of formula units. The calculation puts the volume at 11.590 Å³/atom.